No. 1
Material: WCl3
Method: DFT, meta-GGA SCAN
State: single point on PBEsol structure

Computed properties:
Energy above the lowest structure with this stoichiometry: 0 meV per atom
V: 1691 Å³/cell
Uncorrected energy: -24.2358 eV/atom
Formation energy (no corrections): -0.830 eV per atom

Unit cell a=15.1534 b=15.1534 c=8.5052 alpha=90.00 beta=90.00 gamma=120.00
Space group R-3 (No. 148, hexagonal axes)
Symmetry-distinct sites (fractional):
W (0.0129, 0.8979, 0.1378) x18
Cl (0.0150, 0.8809, 0.6809) x18
Cl (0.0271, 0.7772, 0.3003) x18
Cl (0.0820, 0.5163, 0.6693) x18

***

No. 2
Material: W2Cl
Method: DFT, meta-GGA SCAN
State: single point on PBEsol structure

Computed properties:
V: 89 Å³/cell
Uncorrected energy: -48.2112 eV/atom
Formation energy (no corrections): 0.907 eV per atom

Unit cell a=2.914 b=2.914 c=10.496 alpha=90.00 beta=90.00 gamma=90.00
Space group I4/mmm (No. 139)
Symmetry-distinct sites (fractional):
W (0.000, 0.000, 0.165) x4
Cl (0.000, 0.000, 0.500) x2

***

No. 3
Material: WCl4
Method: DFT, meta-GGA SCAN
State: single point on PBEsol structure

Computed properties:
V: 208 Å³/cell
Uncorrected energy: -20.2728 eV/atom
Formation energy (no corrections): 0.047 eV per atom

Unit cell a=5.930 b=5.930 c=5.930 alpha=90.00 beta=90.00 gamma=90.00
Space group Im-3m (No. 229)
Symmetry-distinct sites (fractional):
W (0.000, 0.000, 0.000) x2
Cl (0.250, 0.250, 0.250) x8